DFT (PBE) results for Rb2SnTeSe5 after structural relaxation.

The structure in POSCAR format:
```
Rb2SnTeSe5
1.0
2.0839 -10.3997 0.0000
2.0839 10.3997 0.0000
0.0000 0.0000 14.6378
Rb Sn Te Se
4 2 2 10
direct
0.1124 0.8876 0.5000
0.1284 0.8716 0.1344
0.8716 0.1284 0.6344
0.8876 0.1124 0.0000
0.4337 0.5663 0.2574
0.5663 0.4337 0.7574
0.2206 0.7794 0.8574
0.7794 0.2206 0.3574
0.0491 0.9509 0.8678
0.2790 0.7210 0.4841
0.3124 0.6876 0.2166
0.3373 0.6627 0.8200
0.4966 0.5034 0.1140
0.5034 0.4966 0.6140
0.6627 0.3373 0.3200
0.6876 0.3124 0.7166
0.7210 0.2790 0.9841
0.9509 0.0491 0.3678
```

* uncorrected formation energy: -5.35 eV per formula unit
* crystal system: orthorhombic
* SG: Cmc2_1, No. 36
* size of the total moment: 0.00 Bohr magnetons per cell

***

DFT (PBE) results for Ba8InSn2 after structural relaxation.

The structure in POSCAR format:
```
Ba8InSn2
1.0
-2.9216 4.9007 8.5902
2.9216 -4.9007 8.5902
2.9216 4.9007 -8.5902
Ba In Sn
8 1 2
direct
0.1240 0.3445 0.7795
0.1414 0.1414 0.0000
0.3259 0.0000 0.3259
0.4350 0.6555 0.7795
0.5650 0.3445 0.2205
0.6741 0.0000 0.6741
0.8586 0.8586 0.0000
0.8760 0.6555 0.2205
0.0000 0.5000 0.5000
0.3054 0.8054 0.5000
0.6946 0.1946 0.5000
```

* crystal system: orthorhombic
* SG: Immm, No. 71
* energy of formation from the pure elements: -3.58 eV per formula unit
* polymorph energy (0 for the lowest one): 49 meV per atom
* size of the total moment: 0.00 Bohr magnetons per cell

***

DFT (PBE) results for Mg2NiMo after structural relaxation.

The structure in POSCAR format:
```
Mg2NiMo
1.0
-1.9339 1.9339 4.2694
1.9339 -1.9339 4.2694
1.9339 1.9339 -4.2694
Mg Ni Mo
2 1 1
direct
0.2500 0.7500 0.5000
0.7500 0.2500 0.5000
0.0000 0.0000 0.0000
0.5000 0.5000 0.0000
```

* crystal system: tetragonal
* SG: I4/mmm, No. 139
* energy of formation from the pure elements: 1.56 eV per formula unit
* polymorph energy (0 for the lowest one): 326 meV per atom
* size of the total moment: 1.62 Bohr magnetons per cell